A plane-wave DFT calculation with PBE-GGA was carried out for Ta13W2 after structural relaxation.

Calculated values
Energy relative to the elements (kJ/mol of formula units): 145
E_tot (Ry per atom): -0.875
Total magnetic moment (μB/cell): 0.000
DOS at the Fermi energy (states/eV/atom): 0.90

a b c (Å): 7.1700 7.3091 7.1123
angles (deg): 117.73 62.71 118.45
Element x y z (fractional)
Ta 0.3389 0.8246 0.8746
Ta 0.4196 0.5777 0.4217
Ta 0.7262 0.0633 0.4730
Ta 0.2738 0.9367 0.5270
Ta 0.6611 0.1754 0.1254
Ta 0.0000 0.0000 0.0000
Ta 0.0599 0.4537 0.2729
W 0.1758 0.1357 0.3380
W 0.8242 0.8643 0.6620
Ta 0.5804 0.4223 0.5783
Ta 0.5428 0.7216 0.0629
Ta 0.4572 0.2784 0.9371
Ta 0.1211 0.3301 0.8155
Ta 0.8789 0.6699 0.1845
Ta 0.9401 0.5463 0.7271


A plane-wave DFT calculation with PBE-GGA was carried out for Th2SiIr after structural relaxation.

Calculated values
E_tot (Ry per atom): -0.596
Total magnetic moment (μB/cell): 0.000
DOS at the Fermi energy (states/eV/atom): 1.14
ΔE_f (raw) (eV per formula unit): -3.32

a b c (Å): 4.1169 5.8936 8.5639
angles (deg): 111.99 90.00 90.00
Element x y z (fractional)
Si 0.2500 0.3557 0.7083
Th 0.2500 0.7873 0.5850
Th 0.7500 0.2146 0.9355
Ir 0.7500 0.6600 0.7936
Si 0.7500 0.6443 0.2917
Th 0.7500 0.2127 0.4150
Th 0.2500 0.7854 0.0645
Ir 0.2500 0.3400 0.2064


A plane-wave DFT calculation with PBE-GGA was carried out for Ba3TlBi3 after structural relaxation.

Calculated values
Energy relative to the elements (kJ/mol of formula units): -475
E_tot (Ry per atom): -0.259
Total magnetic moment (μB/cell): 0.000
DOS at the Fermi energy (states/eV/atom): 0.13

a b c (Å): 7.5232 11.7672 14.7109
angles (deg): 90.00 90.00 108.64
Element x y z (fractional)
Bi 0.0627 0.6730 0.1288
Bi 0.4373 0.3270 0.6288
Bi 0.7806 0.0000 0.1153
Ba 0.9711 0.3504 0.6267
Ba 0.3793 0.3504 0.3733
Ba 0.1207 0.6496 0.8733
Bi 0.2194 0.0000 0.8847
Bi 0.5627 0.6730 0.3712
Ba 0.6995 0.0000 0.8605
Ba 0.5289 0.6496 0.1267
Bi 0.3897 0.3270 0.1288
Ba 0.3005 0.0000 0.1395
Ba 0.8793 0.3504 0.1267
Ba 0.6207 0.6496 0.6267
Ba 0.0289 0.6496 0.3733
Bi 0.8897 0.3270 0.3712
Bi 0.2806 0.0000 0.3847
Bi 0.7194 0.0000 0.6153
Tl 0.4115 0.8230 0.5000
Bi 0.6103 0.6730 0.8712
Bi 0.1103 0.6730 0.6288
Ba 0.1995 0.0000 0.6395
Tl 0.9115 0.8230 0.0000
Tl 0.5885 0.1770 0.5000
Ba 0.4711 0.3504 0.8733
Tl 0.0885 0.1770 0.0000
Bi 0.9373 0.3270 0.8712
Ba 0.8005 0.0000 0.3605